[1]
The following is a DFT calculation (PBE) of a geometry-optimized Pm3CuC structure.

Cell and atoms, written as extended XYZ:
```
5
Lattice="5.009 0.000 0.000 0.000 5.009 0.000 0.000 0.000 5.009" Properties=species:S:1:pos:R:3 pbc="T T T"
Pm 0.000 0.000 2.504
Pm 0.000 2.504 0.000
Pm 2.504 0.000 0.000
Cu 2.504 2.504 2.504
C 0.000 0.000 0.000
```

Computed properties:
Energy above the most stable polymorph in this dataset, meV per atom: 147
SG: Pm-3m, No. 221
Formation energy, eV per formula unit: 0.34



[2]
The following is a DFT calculation (PBE) of a geometry-optimized BeNiW4 structure.

Cell and atoms, written as extended XYZ:
```
6
Lattice="0.000 3.671 3.671 3.671 0.000 3.671 3.671 3.671 0.000" Properties=species:S:1:pos:R:3 pbc="T T T"
Be 0.000 0.000 0.000
Ni 5.506 5.506 5.506
W 2.749 2.749 2.749
W 4.592 4.592 2.749
W 4.592 2.749 4.592
W 2.749 4.592 4.592
```

Computed properties:
SG: F-43m, No. 216
Formation energy, eV per formula unit: 5.40



[3]
The following is a DFT calculation (PBE) of a geometry-optimized Y2Al2Si structure.

Cell and atoms, written as extended XYZ:
```
10
Lattice="3.675 0.000 0.000 0.000 3.675 0.000 0.000 0.000 17.386" Properties=species:S:1:pos:R:3 pbc="T T T"
Y 0.000 0.000 1.680
Y 0.000 0.000 15.706
Y 1.838 1.838 7.013
Y 1.838 1.838 10.373
Al 0.000 1.838 4.347
Al 0.000 1.838 13.040
Al 1.838 0.000 4.347
Al 1.838 0.000 13.040
Si 0.000 0.000 8.693
Si 1.838 1.838 0.000
```

Computed properties:
Energy above the most stable polymorph in this dataset, meV per atom: 230
SG: I4/mmm, No. 139



[4]
The following is a DFT calculation (PBE) of a geometry-optimized AcIn2Au9 structure.

Cell and atoms, written as extended XYZ:
```
12
Lattice="2.839 1.639 9.257 -2.839 1.639 9.257 0.000 -3.278 9.257" Properties=species:S:1:pos:R:3 pbc="T T T"
Ac 0.000 0.000 0.000
In 0.000 0.000 4.055
In 0.000 0.000 23.714
Au -1.434 -0.828 11.616
Au 0.000 0.000 9.250
Au 0.000 -1.655 16.154
Au -1.434 0.828 16.154
Au 0.000 0.000 13.885
Au 1.434 -0.828 11.616
Au 0.000 1.655 11.616
Au 0.000 0.000 18.520
Au 1.434 0.828 16.154
```

Computed properties:
SG: R-3m, No. 166
Formation energy, eV per formula unit: -3.34



[5]
The following is a DFT calculation (PBE) of a geometry-optimized TbSmCdTc structure.

Cell and atoms, written as extended XYZ:
```
16
Lattice="7.212 0.000 0.000 0.000 7.212 0.000 0.000 0.000 7.212" Properties=species:S:1:pos:R:3 pbc="T T T"
Tb 0.000 0.000 0.000
Tb 0.000 3.606 3.606
Tb 3.606 0.000 3.606
Tb 3.606 3.606 0.000
Sm 0.000 0.000 3.606
Sm 0.000 3.606 0.000
Sm 3.606 0.000 0.000
Sm 3.606 3.606 3.606
Cd 1.803 1.803 1.803
Cd 1.803 5.409 5.409
Cd 5.409 1.803 5.409
Cd 5.409 5.409 1.803
Tc 1.803 1.803 5.409
Tc 1.803 5.409 1.803
Tc 5.409 1.803 1.803
Tc 5.409 5.409 5.409
```

Computed properties:
SG: F-43m, No. 216
Formation energy, eV per formula unit: -0.21



[6]
The following is a DFT calculation (PBE) of a geometry-optimized SrAg3Au structure.

Cell and atoms, written as extended XYZ:
```
5
Lattice="5.693 0.000 0.000 0.000 5.693 0.000 0.000 0.000 5.693" Properties=species:S:1:pos:R:3 pbc="T T T"
Sr 0.000 0.000 0.000
Ag 0.000 0.000 2.846
Ag 0.000 2.846 0.000
Ag 2.846 0.000 0.000
Au 2.846 2.846 2.846
```

Computed properties:
Energy above the most stable polymorph in this dataset, meV per atom: 1409
SG: Pm-3m, No. 221
Formation energy, eV per formula unit: 5.72



[7]
The following is a DFT calculation (PBE) of a geometry-optimized TmPuRh structure.

Cell and atoms, written as extended XYZ:
```
6
Lattice="3.420 0.000 0.000 0.000 3.420 0.000 0.000 0.000 11.994" Properties=species:S:1:pos:R:3 pbc="T T T"
Tm 0.000 0.000 0.000
Tm 1.710 1.710 5.997
Pu 0.000 0.000 8.683
Pu 1.710 1.710 2.686
Rh 0.000 0.000 4.423
Rh 1.710 1.710 10.420
```

Computed properties:
Energy above the most stable polymorph in this dataset, meV per atom: 0
SG: I4mm, No. 107
Formation energy, eV per formula unit: -1.18



[8]
The following is a DFT calculation (PBE) of a geometry-optimized Pm4ZrTl5 structure.

Cell and atoms, written as extended XYZ:
```
10
Lattice="3.770 0.000 0.000 0.000 3.770 0.000 0.000 0.000 19.628" Properties=species:S:1:pos:R:3 pbc="T T T"
Pm 0.000 0.000 2.062
Pm 0.000 0.000 6.142
Pm 0.000 0.000 13.486
Pm 0.000 0.000 17.566
Zr 0.000 0.000 9.814
Tl 1.885 1.885 0.000
Tl 1.885 1.885 4.096
Tl 1.885 1.885 8.120
Tl 1.885 1.885 11.508
Tl 1.885 1.885 15.532
```

Computed properties:
SG: P4/mmm, No. 123
Formation energy, eV per formula unit: -2.90